The following is a DFT calculation (GGA-PBE) of an optimized crystal structure of Ni2AgHPd. Values from VASP.

## Properties
E above lowest polymorph: 0.082 eV/atom
V: 57.7 Å³/cell
crystal system: tetragonal
total magnetization: 0.93 μB/cell

Geometry as Quantum ESPRESSO input:
```
&SYSTEM
  ibrav = 0, nat = 5, ntyp = 4
/
ATOMIC_SPECIES
Ni 58.69 Ni.upf
Ag 107.87 Ag.upf
H 1.01 H.upf
Pd 106.42 Pd.upf
ATOMIC_POSITIONS crystal
Ni 0.000 0.500 0.000
Ni 0.500 0.000 0.000
Ag 0.000 0.000 0.500
H 0.000 0.000 0.000
Pd 0.500 0.500 0.500
CELL_PARAMETERS angstrom
3.798 0.000 0.000
0.000 3.798 0.000
0.000 0.000 4.000
```

The following is a DFT calculation (GGA-PBE) of an optimized crystal structure of KNdIn2. Values from VASP.

## Properties
E above lowest polymorph: 0.000 eV/atom
V: 134.1 Å³/cell
ΔE_f: -0.237 eV per atom
crystal system: tetragonal
total magnetization: 0.00 μB/cell

Geometry as Quantum ESPRESSO input:
```
&SYSTEM
  ibrav = 0, nat = 4, ntyp = 3
/
ATOMIC_SPECIES
K 39.10 K.upf
Nd 144.24 Nd.upf
In 114.82 In.upf
ATOMIC_POSITIONS crystal
K 0.000 0.000 0.000
Nd 0.000 0.000 0.500
In 0.500 0.500 0.294
In 0.500 0.500 0.706
CELL_PARAMETERS angstrom
3.975 0.000 0.000
0.000 3.975 0.000
0.000 0.000 8.490
```

The following is a DFT calculation (GGA-PBE) of an optimized crystal structure of PrNdTeAs. Values from VASP.

## Properties
V: 366.0 Å³/cell
raw formation energy: -6.0 eV per formula unit
crystal system: trigonal
total magnetization: 0.00 μB/cell

Geometry as Quantum ESPRESSO input:
```
&SYSTEM
  ibrav = 0, nat = 12, ntyp = 4
/
ATOMIC_SPECIES
Pr 140.91 Pr.upf
Nd 144.24 Nd.upf
Te 127.60 Te.upf
As 74.92 As.upf
ATOMIC_POSITIONS crystal
Pr 0.000 0.000 0.000
Pr 0.333 0.667 0.667
Pr 0.667 0.333 0.333
Nd 0.000 0.000 0.188
Nd 0.333 0.667 0.855
Nd 0.667 0.333 0.522
Te 0.000 0.000 0.428
Te 0.333 0.667 0.094
Te 0.667 0.333 0.761
As 0.000 0.000 0.595
As 0.333 0.667 0.262
As 0.667 0.333 0.928
CELL_PARAMETERS angstrom
4.300 0.000 0.000
-2.150 3.724 0.000
0.000 0.000 22.850
```

The following is a DFT calculation (GGA-PBE) of an optimized crystal structure of Ho5Mg2Sn4. Values from VASP.

## Properties
V: 323.6 Å³/cell
ΔE_f: -0.297 eV per atom
crystal system: monoclinic
total magnetization: 0.00 μB/cell

Geometry as Quantum ESPRESSO input:
```
&SYSTEM
  ibrav = 0, nat = 11, ntyp = 3
/
ATOMIC_SPECIES
Ho 164.93 Ho.upf
Mg 24.30 Mg.upf
Sn 118.71 Sn.upf
ATOMIC_POSITIONS crystal
Ho 0.000 0.000 0.000
Ho 0.339 0.339 0.600
Ho 0.340 0.340 0.075
Ho 0.660 0.660 0.925
Ho 0.661 0.661 0.400
Mg 0.074 0.074 0.577
Mg 0.926 0.926 0.423
Sn 0.214 0.214 0.716
Sn 0.499 0.499 0.707
Sn 0.501 0.501 0.293
Sn 0.786 0.786 0.284
CELL_PARAMETERS angstrom
10.560 -2.160 0.000
10.560 2.160 0.000
-2.684 0.000 7.094
```

The following is a DFT calculation (GGA-PBE) of an optimized crystal structure of Pu6NpS12. Values from VASP.

## Properties
V: 461.4 Å³/cell
raw formation energy: -29.7 eV per formula unit
crystal system: trigonal
total magnetization: 31.00 μB/cell

Geometry as Quantum ESPRESSO input:
```
&SYSTEM
  ibrav = 0, nat = 19, ntyp = 3
/
ATOMIC_SPECIES
Pu 244.00 Pu.upf
Np 237.00 Np.upf
S 32.06 S.upf
ATOMIC_POSITIONS crystal
Pu 0.122 0.808 0.637
Pu 0.192 0.363 0.878
Pu 0.363 0.878 0.192
Pu 0.637 0.122 0.808
Pu 0.808 0.637 0.122
Pu 0.878 0.192 0.363
Np 0.500 0.500 0.500
S 0.070 0.919 0.322
S 0.081 0.678 0.930
S 0.175 0.434 0.545
S 0.322 0.070 0.919
S 0.434 0.545 0.175
S 0.455 0.825 0.566
S 0.545 0.175 0.434
S 0.566 0.455 0.825
S 0.678 0.930 0.081
S 0.825 0.566 0.455
S 0.919 0.322 0.070
S 0.930 0.081 0.678
CELL_PARAMETERS angstrom
5.981 3.453 3.723
-5.981 3.453 3.723
0.000 -6.907 3.723
```

The following is a DFT calculation (GGA-PBE) of an optimized crystal structure of Zn2NiSb. Values from VASP.

## Properties
V: 282.5 Å³/cell
raw formation energy: 0.3 eV per formula unit
crystal system: tetragonal
total magnetization: 0.00 μB/cell

Geometry as Quantum ESPRESSO input:
```
&SYSTEM
  ibrav = 0, nat = 16, ntyp = 3
/
ATOMIC_SPECIES
Zn 65.41 Zn.upf
Ni 58.69 Ni.upf
Sb 121.76 Sb.upf
ATOMIC_POSITIONS crystal
Zn 0.193 0.250 0.125
Zn 0.250 0.693 0.375
Zn 0.250 0.807 0.875
Zn 0.307 0.250 0.625
Zn 0.693 0.750 0.625
Zn 0.750 0.193 0.875
Zn 0.750 0.307 0.375
Zn 0.807 0.750 0.125
Ni 0.000 0.000 0.000
Ni 0.000 0.500 0.250
Ni 0.500 0.000 0.750
Ni 0.500 0.500 0.500
Sb 0.000 0.000 0.500
Sb 0.000 0.500 0.750
Sb 0.500 0.000 0.250
Sb 0.500 0.500 0.000
CELL_PARAMETERS angstrom
3.966 0.000 0.000
0.000 3.966 0.000
0.000 0.000 17.960
```

The following is a DFT calculation (GGA-PBE) of an optimized crystal structure of AgBPO2. Values from VASP.

## Properties
E above lowest polymorph: 1.298 eV/atom
V: 77.1 Å³/cell
raw formation energy: 7.4 eV per formula unit
crystal system: tetragonal
total magnetization: 0.47 μB/cell

Geometry as Quantum ESPRESSO input:
```
&SYSTEM
  ibrav = 0, nat = 5, ntyp = 4
/
ATOMIC_SPECIES
Ag 107.87 Ag.upf
B 10.81 B.upf
P 30.97 P.upf
O 16.00 O.upf
ATOMIC_POSITIONS crystal
Ag 0.000 0.000 0.000
B 0.500 0.500 0.500
P 0.000 0.000 0.500
O 0.000 0.500 0.000
O 0.500 0.000 0.000
CELL_PARAMETERS angstrom
3.862 0.000 0.000
0.000 3.862 0.000
0.000 0.000 5.169
```

The following is a DFT calculation (GGA-PBE) of an optimized crystal structure of Cs2KP2S6. Values from VASP.

## Properties
V: 390.6 Å³/cell
raw formation energy: -7.9 eV per formula unit
crystal system: monoclinic
total magnetization: 1.03 μB/cell

Geometry as Quantum ESPRESSO input:
```
&SYSTEM
  ibrav = 0, nat = 11, ntyp = 4
/
ATOMIC_SPECIES
Cs 132.91 Cs.upf
K 39.10 K.upf
P 30.97 P.upf
S 32.06 S.upf
ATOMIC_POSITIONS crystal
Cs 0.205 0.205 0.204
Cs 0.795 0.795 0.796
K 0.000 0.000 0.500
P 0.456 0.456 0.725
P 0.544 0.544 0.275
S 0.221 0.695 0.200
S 0.289 0.289 0.665
S 0.305 0.779 0.800
S 0.695 0.221 0.200
S 0.711 0.711 0.335
S 0.779 0.305 0.800
CELL_PARAMETERS angstrom
6.487 -3.600 0.000
6.487 3.600 0.000
-4.021 0.000 8.363
```